Computed, not measured: an optimized crystal structure of DyAlGa4 at the PBE level of DFT.

Cell: 5.264 5.264 5.035 Å, 100.46 100.46 114.49°
Element x y z (fractional)
Dy: 0.000 0.000 0.000
Al: 0.500 0.500 0.500
Ga: 0.190 0.810 0.500
Ga: 0.346 0.654 0.000
Ga: 0.654 0.346 0.000
Ga: 0.810 0.190 0.500

Output
calculated total energy: -3.589 eV per atom
DFT formation energy: -17.4 kJ/mol of atoms
distance to the lowest polymorph of the same formula: 0.5 kJ per mole of atoms
density of states at the Fermi level: 2.61 states/eV per cell